# CePa2Ni9

Crystalline CePa2Ni9 at its relaxed geometry (PBE, the Alexandria database).

Summary:
E above lowest polymorph ... 0 meV/atom
Symmetry ... P6_3/mmc
ΔH_f (0 K) ... -479 kJ/mol of formula units

Geometry as POSCAR:
```
CePa2Ni9
1.0
-0.172 4.069 2.750
-4.155 -1.980 -1.721
-1.227 -9.243 13.597
Pa Ni Ce
4 18 2
Cartesian
-3.490 -4.955 7.112
-4.006 -8.836 12.822
-1.549 1.682 1.804
-2.064 -2.199 7.514
-3.645 -2.130 0.727
-3.951 -4.435 4.119
-0.920 -6.932 10.198
-1.603 -2.719 10.507
-1.874 -3.445 4.980
0.000 0.000 0.000
-1.823 -7.059 12.524
-3.987 -6.014 13.038
-1.517 -4.753 9.132
-1.568 -1.140 1.588
-3.731 -0.096 2.102
-2.420 -4.880 11.457
-0.614 -4.621 6.798
-3.134 -2.275 3.169
-1.910 -5.024 13.899
-4.037 -2.401 5.494
-3.681 -3.709 9.646
-0.307 -2.311 3.399
-3.748 -6.896 9.967
-1.807 -0.258 4.659
```